# 1
6
Lattice="-4.0776 -2.9941 -1.0905 2.0690 -2.6323 -0.5072 4.2772 -2.4334 7.4409" Properties=species:S:1:pos:R:3 comment="HfTlAu GGA-PBE relaxed" delta_e_f_kcal_per_mol_atoms=-2.2 magnetic_moment_mub_per_cell=0.58 spacegroup="No. 6" pbc="T T T"
Hf 3.2727 -2.9555 6.8280
Hf 1.7176 -3.6445 4.0695
Tl 0.3608 -2.0801 1.7281
Tl -0.6437 -4.8942 0.9325
Au 0.6909 -6.5017 3.3976
Au 2.2913 -5.7242 5.9031

# 2
11
Lattice="4.2835 0.0000 0.0000 0.0000 4.2835 0.0000 0.0000 0.0000 11.1619" Properties=species:S:1:pos:R:3 comment="Ho2Al8Pd GGA-PBE relaxed" delta_e_f_kcal_per_mol_atoms=-11.3 magnetic_moment_mub_per_cell=0.00 spacegroup="No. 123" pbc="T T T"
Ho 0.0000 0.0000 3.4814
Ho 0.0000 0.0000 7.6805
Al 0.0000 2.1417 5.5809
Al 2.1417 0.0000 5.5809
Al 2.1417 2.1417 3.4075
Al 2.1417 2.1417 7.7544
Al 0.0000 2.1417 1.4102
Al 2.1417 0.0000 1.4102
Al 0.0000 2.1417 9.7517
Al 2.1417 0.0000 9.7517
Pd 0.0000 0.0000 0.0000